(1)
# KMn2P GGA-PBE optimized geometry
data_KMn2P
_symmetry_space_group_name_H-M 'F -4 3 m'
_symmetry_Int_Tables_number 216
_symmetry_space_group_name_Hall 'F -4 2 3'
_cell_length_a 6.824
_cell_length_b 6.824
_cell_length_c 6.824
_cell_angle_alpha 90.00
_cell_angle_beta 90.00
_cell_angle_gamma 90.00
loop_
_atom_site_label
_atom_site_type_symbol
_atom_site_fract_x
_atom_site_fract_y
_atom_site_fract_z
K1 K 0.000 0.000 0.000
Mn1 Mn 0.000 0.000 0.500
Mn2 Mn 0.250 0.250 0.750
P1 P 0.250 0.250 0.250
# mass density	3.8	Mg/m³
# energy relative to the elements	19.730	kcal/mol of atoms

(2)
# LiBi3Pb3 GGA-PBE optimized geometry
data_LiBi3Pb3
_symmetry_space_group_name_H-M 'C 1 2/m 1'
_symmetry_Int_Tables_number 12
_symmetry_space_group_name_Hall '-C 2y'
_cell_length_a 9.987
_cell_length_b 9.480
_cell_length_c 9.181
_cell_angle_alpha 90.00
_cell_angle_beta 90.01
_cell_angle_gamma 90.00
loop_
_atom_site_label
_atom_site_type_symbol
_atom_site_fract_x
_atom_site_fract_y
_atom_site_fract_z
Li1 Li 0.248 0.000 0.000
Bi1 Bi 0.000 0.000 0.186
Bi2 Bi 0.250 0.250 0.240
Pb1 Pb 0.000 0.189 0.500
Pb2 Pb 0.000 0.321 0.000
Pb3 Pb 0.184 0.500 0.500
# mass density	9.6	Mg/m³
# energy relative to the elements	-0.748	kcal/mol of atoms

(3)
# Sc2CdInH GGA-PBE optimized geometry
data_Sc2CdInH
_symmetry_space_group_name_H-M 'P 4/m m m'
_symmetry_Int_Tables_number 123
_symmetry_space_group_name_Hall '-P 4 2'
_cell_length_a 4.447
_cell_length_b 4.447
_cell_length_c 4.521
_cell_angle_alpha 90.00
_cell_angle_beta 90.00
_cell_angle_gamma 90.00
loop_
_atom_site_label
_atom_site_type_symbol
_atom_site_fract_x
_atom_site_fract_y
_atom_site_fract_z
Sc1 Sc 0.000 0.500 0.000
Cd1 Cd 0.000 0.000 0.500
In1 In 0.500 0.500 0.500
H1 H 0.000 0.000 0.000
# E above lowest polymorph	0	meV/atom
# mass density	5.9	Mg/m³

(4)
# Rb3Ba5H12 GGA-PBE optimized geometry
data_Rb3Ba5H12
_symmetry_space_group_name_H-M 'I a -3 d'
_symmetry_Int_Tables_number 230
_symmetry_space_group_name_Hall '-I 4bd 2c 3'
_cell_length_a 16.444
_cell_length_b 16.444
_cell_length_c 16.444
_cell_angle_alpha 90.00
_cell_angle_beta 90.00
_cell_angle_gamma 90.00
loop_
_atom_site_label
_atom_site_type_symbol
_atom_site_fract_x
_atom_site_fract_y
_atom_site_fract_z
Rb1 Rb 0.000 0.250 0.125
Ba1 Ba 0.000 0.000 0.000
Ba2 Ba 0.000 0.250 0.375
H1 H 0.027 0.055 0.648
# E_tot	-2.866	eV/atom
# mass density	2.9	Mg/m³